No. 1
BeCuIr: optimized geometry, PBE-GGA.

Summary:
Theoretical density in Mg/m³: 11.9
Distance to the lowest polymorph of the same formula in meV per atom: 160.2

a = 3.740 Å, b = 3.740 Å, c = 3.740 Å
α = 60.00°, β = 60.00°, γ = 60.00°
Element x y z (fractional)
Be 0.750 0.750 0.750
Ir 0.500 0.500 0.500
Cu 0.000 0.000 0.000

No. 2
Y4ScSe4: optimized geometry, PBE-GGA.

Summary:
Theoretical density in Mg/m³: 5.3
Formation energy (no corrections) in eV/atom: -1.51

a = 5.736 Å, b = 6.886 Å, c = 6.885 Å
α = 79.95°, β = 65.38°, γ = 65.39°
Element x y z (fractional)
Y 0.596 0.614 0.195
Y 0.404 0.386 0.805
Y 0.209 0.195 0.388
Y 0.791 0.805 0.612
Sc 0.000 0.000 0.000
Se 0.907 0.387 0.799
Se 0.093 0.613 0.201
Se 0.294 0.799 0.614
Se 0.706 0.201 0.386

No. 3
CsKTiCl6: optimized geometry, PBE-GGA.

Summary:
Theoretical density in Mg/m³: 2.1
Formation energy (no corrections) in eV/atom: -1.77

a = 7.492 Å, b = 7.492 Å, c = 7.038 Å
α = 90.00°, β = 90.00°, γ = 60.00°
Element x y z (fractional)
Cs 0.000 0.000 0.000
K 0.667 0.667 0.500
Ti 0.333 0.333 0.500
Cl 0.074 0.337 0.304
Cl 0.337 0.074 0.696
Cl 0.589 0.337 0.696
Cl 0.074 0.589 0.696
Cl 0.337 0.589 0.304
Cl 0.589 0.074 0.304

No. 4
Dy6Hg2Se: optimized geometry, PBE-GGA.

Summary:
Theoretical density in Mg/m³: 9.3
Formation energy (no corrections) in eV/atom: -0.56

a = 6.608 Å, b = 7.533 Å, c = 10.435 Å
α = 90.00°, β = 87.58°, γ = 90.00°
Element x y z (fractional)
Dy 0.142 0.030 0.240
Dy 0.164 0.336 0.559
Dy 0.158 0.292 0.943
Dy 0.342 0.792 0.557
Dy 0.336 0.836 0.941
Dy 0.358 0.530 0.260
Dy 0.858 0.970 0.760
Dy 0.836 0.664 0.441
Dy 0.842 0.708 0.057
Dy 0.658 0.208 0.443
Dy 0.664 0.164 0.059
Dy 0.642 0.470 0.740
Hg 0.072 0.608 0.766
Hg 0.428 0.108 0.734
Hg 0.572 0.892 0.266
Hg 0.928 0.392 0.234
Se 0.500 0.500 0.000
Se 0.000 0.000 0.500

No. 5
LaErPb: optimized geometry, PBE-GGA.

Summary:
Theoretical density in Mg/m³: 8.7
Distance to the lowest polymorph of the same formula in meV per atom: 0.0

a = 4.725 Å, b = 4.725 Å, c = 9.358 Å
α = 104.62°, β = 104.62°, γ = 90.00°
Element x y z (fractional)
La 0.324 0.324 0.647
La 0.676 0.676 0.353
Er 0.500 0.000 0.000
Er 0.000 0.500 0.000
Pb 0.871 0.871 0.741
Pb 0.129 0.129 0.259

No. 6
CaMgGe: optimized geometry, PBE-GGA.

Summary:
Total energy in eV per atom: -3.117
Theoretical density in Mg/m³: 3.0

a = 4.089 Å, b = 4.590 Å, c = 4.590 Å
α = 120.00°, β = 90.00°, γ = 90.00°
Element x y z (fractional)
Mg 0.168 0.667 0.333
Ge 0.165 0.000 0.000
Ca 0.667 0.333 0.667

In μB per atom, the total magnetization values for the records above are, in order, 0.000, 0.000, 0.000, 0.000, 0.242, 0.000.